This record from Alexandria describes a relaxed Rb2Cr4CuH4O16 crystal. The functional is PBE with a Hubbard U.

```
data_Rb2Cr4CuH4O16
_symmetry_space_group_name_H-M 'P -1'
_symmetry_Int_Tables_number 2
_symmetry_space_group_name_Hall '-P 1'
_cell_length_a 7.5086
_cell_length_b 7.7253
_cell_length_c 7.8535
_cell_angle_alpha 87.96
_cell_angle_beta 62.02
_cell_angle_gamma 82.88
loop_
_atom_site_label
_atom_site_type_symbol
_atom_site_fract_x
_atom_site_fract_y
_atom_site_fract_z
Rb1 Rb 0.2471 0.3423 0.4765
Cr1 Cr 0.0309 0.8523 0.7475
Cr2 Cr 0.2554 0.6164 0.9574
Cu1 Cu 0.5000 0.0000 0.0000
H1 H 0.3413 0.0706 0.7810
H2 H 0.4265 0.2432 0.8053
O1 O 0.0436 0.7268 0.9362
O2 O 0.1290 0.7297 0.5539
O3 O 0.1622 0.0167 0.7114
O4 O 0.1726 0.5418 0.1733
O5 O 0.2121 0.0836 0.1891
O6 O 0.3699 0.4588 0.7912
O7 O 0.4167 0.7571 0.9183
O8 O 0.4566 0.1123 0.7908
```

Properties
The final energy comes out at -5.978 eV/atom.